LiFeBO3 | PBE+U | optimized geometry

relative energy among the computed polymorphs: 0.049 eV/atom
calculated total energy: -6.865 eV/atom

Cell: 3.193 9.078 9.578 Å, 89.99 89.14 89.71°
Positions (direct):
1 Li 0.239 0.369 0.203
2 Li 0.241 0.130 0.703
3 Li 0.759 0.870 0.297
4 Li 0.761 0.631 0.797
5 Fe 0.259 0.706 0.557
6 Fe 0.259 0.794 0.057
7 Fe 0.741 0.206 0.943
8 Fe 0.741 0.294 0.443
9 B 0.245 0.105 0.212
10 B 0.249 0.394 0.713
11 B 0.751 0.606 0.287
12 B 0.755 0.895 0.788
13 O 0.216 0.189 0.333
14 O 0.217 0.311 0.834
15 O 0.258 0.185 0.086
16 O 0.261 0.315 0.586
17 O 0.263 0.955 0.217
18 O 0.268 0.545 0.718
19 O 0.732 0.455 0.282
20 O 0.737 0.045 0.783
21 O 0.739 0.685 0.414
22 O 0.742 0.815 0.914
23 O 0.783 0.689 0.166
24 O 0.784 0.811 0.667